## one
! LiCuPt2 (PBE-GGA, relaxed); values from VASP
&SYSTEM
  ibrav = 0, nat = 4, ntyp = 3
/
ATOMIC_SPECIES
Pt 195.08 Pt.upf
Cu 63.55 Cu.upf
Li 6.94 Li.upf
ATOMIC_POSITIONS crystal
Pt 0.750 0.750 0.750
Pt 0.250 0.250 0.250
Cu 0.500 0.500 0.500
Li 0.000 0.000 0.000
CELL_PARAMETERS angstrom
0.000 3.000 3.000
3.000 0.000 3.000
3.000 3.000 0.000
! Crystal system: cubic
! Symmetry: Fm-3m
! Fermi-level density of states in states/eV/f.u.: 2.6

## two
! LiCuPt2 (PBE-GGA, relaxed); values from VASP
&SYSTEM
  ibrav = 0, nat = 4, ntyp = 3
/
ATOMIC_SPECIES
Cu 63.55 Cu.upf
Pt 195.08 Pt.upf
Li 6.94 Li.upf
ATOMIC_POSITIONS crystal
Cu 0.750 0.750 0.750
Pt 0.003 0.003 0.000
Li 0.250 0.250 0.250
Pt 0.497 0.497 0.500
CELL_PARAMETERS angstrom
4.576 -0.009 0.008
3.750 2.622 0.008
0.793 0.249 4.678
! Crystal system: monoclinic
! Symmetry: C2/m
! Fermi-level density of states in states/eV/f.u.: 2.8

Most stable = two